CaThZnGa: relaxed, PBE.

```
CaThZnGa
1.0
-1.5536 4.9305 0.4087
-4.7958 1.3361 -1.4511
-3.5166 1.3226 3.5742
Ca Ga Zn Th
1 1 1 1
direct
0.5000 0.5000 0.5000
0.7500 0.7500 0.7500
0.2500 0.2500 0.2500
0.0000 0.0000 0.0000
```

Properties
M_tot	0.00	μB/cell
formation energy from the elements	-0.29	eV per atom
theoretical density	6.86	Mg/m³
space-group type	F-43m, No. 216

=====

ZnSi2Tc: relaxed, PBE.

```
ZnSi2Tc
1.0
4.3838 -0.0050 0.0099
3.3513 2.8260 0.0099
0.7150 0.2608 4.6507
Si Tc Zn
2 1 1
direct
0.0137 0.0137 0.9596
0.4863 0.4863 0.5404
0.7500 0.7500 0.7500
0.2500 0.2500 0.2500
```

Properties
E_form (uncorrected)	-26	meV per atom
M_tot	0.00	μB/cell
energy above the lowest structure with this stoichiometry	0.0849	eV/atom
theoretical density	6.32	Mg/m³
space-group type	C2/m, No. 12

=====

Ca2SmSe4: relaxed, PBE.

```
Ca2SmSe4
1.0
-0.2367 -3.6784 -1.7088
7.2260 1.7536 0.0540
1.2895 -5.6846 12.0581
Sm Se Ca
2 8 4
direct
0.6225 0.2449 0.7500
0.3775 0.7551 0.2500
0.9781 0.9563 0.7500
0.7733 0.5467 0.3739
0.5000 0.0000 0.5000
0.2267 0.4533 0.8739
0.2267 0.4533 0.6261
0.7733 0.5467 0.1261
0.5000 0.0000 0.0000
0.0219 0.0437 0.2500
0.1301 0.2601 0.0681
0.1301 0.2601 0.4319
0.8699 0.7399 0.9319
0.8699 0.7399 0.5681
```

Properties
E_form (uncorrected)	-1681	meV per atom
M_tot	0.00	μB/cell
theoretical density	4.66	Mg/m³
space-group type	Cmcm, No. 63

=====

GeAsRh2: relaxed, PBE.

```
GeAsRh2
1.0
5.6083 0.0000 -0.0001
0.0000 6.2275 0.0000
-0.0087 0.0000 7.2093
Rh As Ge
8 4 4
direct
0.0001 0.1969 0.8705
0.4999 0.6969 0.1295
0.9999 0.8031 0.1295
0.0011 0.7987 0.6204
0.5001 0.3031 0.8705
0.4989 0.2987 0.3796
0.5011 0.7013 0.6204
0.9989 0.2013 0.3796
0.6909 0.0783 0.6297
0.3091 0.9217 0.3703
0.1909 0.4217 0.6297
0.8091 0.5783 0.3703
0.6924 0.0864 0.1208
0.1924 0.4136 0.1208
0.3076 0.9136 0.8792
0.8076 0.5864 0.8792
```

Properties
M_tot	0.00	μB/cell
energy above the lowest structure with this stoichiometry	0.0000	eV/atom
formation energy from the elements	-0.56	eV per atom
theoretical density	9.32	Mg/m³
space-group type	P2_1/c, No. 14

=====

CaCdAu3: relaxed, PBE.

```
CaCdAu3
1.0
5.6970 0.0000 0.0000
0.0000 9.7702 -1.9979
0.0000 1.0242 7.5179
Au Ca Cd
12 4 4
direct
0.4448 0.7719 0.3600
0.6407 0.3898 0.9560
0.8593 0.3898 0.4560
0.9448 0.2281 0.1400
0.6088 0.8659 0.0087
0.1088 0.1341 0.4913
0.5552 0.2281 0.6400
0.0552 0.7719 0.8600
0.8912 0.8659 0.5087
0.3593 0.6102 0.0440
0.3912 0.1341 0.9913
0.1407 0.6102 0.5440
0.8704 0.6253 0.1963
0.3704 0.3747 0.3037
0.1296 0.3747 0.8037
0.6296 0.6253 0.6963
0.3852 0.9413 0.6744
0.6148 0.0587 0.3256
0.1148 0.9413 0.1744
0.8852 0.0587 0.8256
```

Properties
M_tot	0.00	μB/cell
energy above the lowest structure with this stoichiometry	0.0000	eV/atom
formation energy from the elements	-0.48	eV per atom
theoretical density	11.48	Mg/m³
space-group type	P2_1/c, No. 14

=====

CrCd2Ag: relaxed, PBE.

```
CrCd2Ag
1.0
5.1935 -0.1027 0.1404
4.3141 2.8934 0.1404
0.9080 0.2665 4.9944
Cd Ag Cr
2 1 1
direct
0.7557 0.7557 0.7363
0.9970 0.9970 0.0086
0.2445 0.2445 0.2545
0.5029 0.5029 0.5005
```

Properties
M_tot	3.96	μB/cell
formation energy from the elements	0.25	eV per atom
theoretical density	8.31	Mg/m³
space-group type	Cm, No. 8

=====

Hf2Pa: relaxed, PBE.

```
Hf2Pa
1.0
3.5137 0.0000 0.0000
0.0000 3.5137 0.0000
-1.7568 -1.7568 5.5783
Pa Hf
1 2
direct
0.0000 0.0000 0.0000
0.3376 0.3376 0.6752
0.6624 0.6624 0.3248
```

Properties
M_tot	0.00	μB/cell
energy above the lowest structure with this stoichiometry	0.0000	eV/atom
formation energy from the elements	0.18	eV per atom
theoretical density	14.18	Mg/m³
space-group type	I4/mmm, No. 139

=====

Li2DyCu2P2: relaxed, PBE.

```
Li2DyCu2P2
1.0
-3.4848 0.5745 1.8059
-3.3806 -0.8210 -1.9058
-2.0722 -7.1885 2.6445
Dy Cu Li P
1 2 2 2
direct
0.0000 0.0000 0.0000
0.4257 0.4257 0.7229
0.5743 0.5743 0.2771
0.8575 0.8575 0.4274
0.1425 0.1425 0.5726
0.7460 0.7460 0.7620
0.2540 0.2540 0.2380
```

Properties
M_tot	0.00	μB/cell
formation energy from the elements	-0.77	eV per atom
theoretical density	5.86	Mg/m³
space-group type	R-3m, No. 166

=====

HfCd2F: relaxed, PBE.

```
HfCd2F
1.0
0.0000 3.4344 3.4344
3.4344 0.0000 3.4344
3.4344 3.4344 0.0000
F Cd Hf
1 2 1
direct
0.0000 0.0000 0.0000
0.2500 0.2500 0.2500
0.7500 0.7500 0.7500
0.5000 0.5000 0.5000
```

Properties
E_form (uncorrected)	-48	meV per atom
M_tot	0.00	μB/cell
energy above the lowest structure with this stoichiometry	0.3790	eV/atom
theoretical density	8.66	Mg/m³
space-group type	Fm-3m, No. 225

=====

ThZr2Rh9: relaxed, PBE.

```
ThZr2Rh9
1.0
4.0255 0.0000 0.0000
0.0000 4.0255 0.0000
0.0000 0.0000 12.0530
Rh Th Zr
9 1 2
direct
0.5000 0.0000 0.8223
0.5000 0.0000 0.1777
0.0000 0.5000 0.8223
0.0000 0.5000 0.5000
0.5000 0.5000 0.6622
0.5000 0.0000 0.5000
0.5000 0.5000 0.3378
0.5000 0.5000 0.0000
0.0000 0.5000 0.1777
0.0000 0.0000 0.0000
0.0000 0.0000 0.6623
0.0000 0.0000 0.3377
```

Properties
M_tot	0.00	μB/cell
formation energy from the elements	-0.69	eV per atom
theoretical density	11.40	Mg/m³
space-group type	P4/mmm, No. 123

=====

TlMoAu2C: relaxed, PBE.

```
TlMoAu2C
1.0
5.2990 0.0000 0.0000
0.0000 3.9539 0.0000
0.0000 0.0000 5.2990
Au Tl Mo C
2 1 1 1
direct
0.5000 0.0000 0.0000
0.0000 0.0000 0.5000
0.5000 0.5000 0.5000
0.0000 0.0000 0.0000
0.0000 0.5000 0.0000
```

Properties
M_tot	0.01	μB/cell
formation energy from the elements	0.97	eV per atom
theoretical density	10.56	Mg/m³
space-group type	P4/mmm, No. 123

=====

IrRuPb2: relaxed, PBE.

```
IrRuPb2
1.0
-2.3198 -0.1493 -3.9543
1.8738 -4.0752 -0.9454
-2.7539 -1.6555 1.6781
Pb Ir Ru
2 1 1
direct
0.5000 0.5000 0.0000
0.0000 0.0000 0.0000
0.0000 0.5000 0.5000
0.5000 0.0000 0.5000
```

Properties
M_tot	0.00	μB/cell
energy above the lowest structure with this stoichiometry	0.1725	eV/atom
formation energy from the elements	0.52	eV per atom
theoretical density	15.42	Mg/m³
space-group type	P4/mmm, No. 123